SiMoAsF2 | Alexandria | SCAN | PBEsol geometry; space-group type = P4/mmm, No. 123; total moment = 1.00 μB per formula unit; final energy = -14.890 eV/atom
1.0
3.799 0.000 0.000
0.000 3.799 0.000
0.000 0.000 5.465
Si Mo As F
1 1 1 2
direct
0.000 0.000 0.000 Si
0.500 0.500 0.000 Mo
0.500 0.500 0.500 As
0.000 0.500 0.500 F
0.500 0.000 0.500 F

---

NaAsN2F | Alexandria | SCAN | PBEsol geometry; space-group type = P4/mmm, No. 123; total moment = 0.52 μB per formula unit; final energy = -9.359 eV/atom
1.0
3.646 0.000 0.000
0.000 3.646 0.000
0.000 0.000 4.393
Na As N F
1 1 2 1
direct
0.000 0.000 0.000 Na
0.500 0.500 0.500 As
0.000 0.500 0.500 N
0.500 0.000 0.500 N
0.500 0.500 0.000 F

---

AsS3N2F6 | Alexandria | SCAN | PBEsol geometry; relative energy among the computed polymorphs = 0 meV/atom; space-group type = P2_1/c, No. 14; total moment = 0.00 μB per formula unit
1.0
8.438 0.000 0.000
0.000 8.194 0.000
-1.031 0.000 11.003
As S N F
4 12 8 24
direct
0.234 0.100 0.369 As
0.234 0.400 0.869 As
0.766 0.600 0.131 As
0.766 0.900 0.631 As
0.146 0.558 0.359 S
0.146 0.942 0.859 S
0.354 0.630 0.559 S
0.354 0.870 0.059 S
0.462 0.650 0.385 S
0.462 0.850 0.885 S
0.538 0.150 0.115 S
0.538 0.350 0.615 S
0.646 0.130 0.941 S
0.646 0.370 0.441 S
0.854 0.058 0.141 S
0.854 0.442 0.641 S
0.182 0.581 0.500 N
0.182 0.919 0.000 N
0.304 0.605 0.303 N
0.304 0.895 0.803 N
0.696 0.105 0.197 N
0.696 0.395 0.697 N
0.818 0.081 0.000 N
0.818 0.419 0.500 N
0.060 0.195 0.407 F
0.060 0.305 0.907 F
0.130 0.574 0.815 F
0.130 0.926 0.315 F
0.207 0.191 0.224 F
0.207 0.309 0.724 F
0.270 0.016 0.513 F
0.270 0.484 0.013 F
0.345 0.220 0.921 F
0.345 0.280 0.421 F
0.414 0.016 0.327 F
0.414 0.484 0.827 F
0.586 0.516 0.173 F
0.586 0.984 0.673 F
0.655 0.720 0.579 F
0.655 0.780 0.079 F
0.730 0.516 0.987 F
0.730 0.984 0.487 F
0.793 0.691 0.276 F
0.793 0.809 0.776 F
0.870 0.074 0.685 F
0.870 0.426 0.185 F
0.940 0.695 0.093 F
0.940 0.805 0.593 F

---

As2S3N2F12 | Alexandria | SCAN | PBEsol geometry; space-group type = C2, No. 5; total moment = 0.00 μB per formula unit; final energy = -8.406 eV/atom
1.0
6.187 -4.171 0.000
6.187 4.171 0.000
-0.428 0.000 10.726
As S N F
4 6 4 24
direct
0.000 0.000 0.000 As
0.383 0.347 0.751 As
0.653 0.617 0.249 As
0.989 0.011 0.500 As
0.206 0.522 0.243 S
0.404 0.152 0.151 S
0.411 0.170 0.350 S
0.478 0.794 0.757 S
0.830 0.589 0.650 S
0.848 0.596 0.849 S
0.280 0.368 0.130 N
0.288 0.389 0.361 N
0.611 0.712 0.639 N
0.632 0.720 0.870 N
0.064 0.765 0.059 F
0.071 0.798 0.409 F
0.082 0.076 0.141 F
0.098 0.122 0.399 F
0.140 0.352 0.743 F
0.202 0.929 0.591 F
0.235 0.936 0.941 F
0.309 0.526 0.869 F
0.315 0.527 0.638 F
0.442 0.165 0.862 F
0.447 0.167 0.632 F
0.473 0.685 0.362 F
0.474 0.691 0.131 F
0.617 0.350 0.760 F
0.648 0.860 0.257 F
0.650 0.383 0.240 F
0.768 0.063 0.060 F
0.775 0.098 0.408 F
0.833 0.553 0.368 F
0.835 0.558 0.138 F
0.878 0.902 0.601 F
0.902 0.225 0.592 F
0.924 0.918 0.859 F
0.937 0.232 0.940 F

---

AsS3N2F6 | Alexandria | SCAN | PBEsol geometry; relative energy among the computed polymorphs = 6 meV/atom; space-group type = P-1, No. 2; total moment = 1.00 μB per formula unit
1.0
5.575 0.000 0.000
2.140 7.422 0.000
1.582 -0.156 9.337
As S N F
2 6 4 12
direct
0.077 0.279 0.220 As
0.923 0.721 0.780 As
0.275 0.140 0.801 S
0.445 0.765 0.442 S
0.467 0.707 0.154 S
0.533 0.293 0.846 S
0.555 0.235 0.558 S
0.725 0.860 0.199 S
0.348 0.142 0.631 N
0.352 0.686 0.318 N
0.648 0.314 0.682 N
0.652 0.858 0.369 N
0.040 0.079 0.304 F
0.123 0.475 0.134 F
0.139 0.590 0.640 F
0.168 0.717 0.874 F
0.297 0.147 0.078 F
0.329 0.268 0.312 F
0.671 0.732 0.688 F
0.703 0.853 0.922 F
0.832 0.283 0.126 F
0.861 0.410 0.360 F
0.877 0.525 0.866 F
0.960 0.921 0.696 F

---

ScAsN2F | Alexandria | SCAN | PBEsol geometry; space-group type = P4/mmm, No. 123; total moment = 1.00 μB per formula unit; final energy = -11.558 eV/atom
1.0
4.171 0.000 0.000
0.000 4.171 0.000
0.000 0.000 3.827
Sc As N F
1 1 2 1
direct
0.000 0.000 0.000 Sc
0.500 0.500 0.500 As
0.000 0.500 0.000 N
0.500 0.000 0.000 N
0.000 0.000 0.500 F

---

AsSeNF2 | Alexandria | SCAN | PBEsol geometry; relative energy among the computed polymorphs = 452 meV/atom; space-group type = P4/mmm, No. 123; total moment = 0.00 μB per formula unit
1.0
3.933 0.000 0.000
0.000 3.933 0.000
0.000 0.000 4.118
As Se N F
1 1 1 2
direct
0.000 0.000 0.000 As
0.500 0.500 0.000 Se
0.500 0.500 0.500 N
0.000 0.500 0.500 F
0.500 0.000 0.500 F

---

AsSeNF2 | Alexandria | SCAN | PBEsol geometry; relative energy among the computed polymorphs = 0 meV/atom; space-group type = P4/mmm, No. 123; total moment = 0.64 μB per formula unit
1.0
3.944 0.000 0.000
0.000 3.944 0.000
0.000 0.000 4.299
As Se N F
1 1 1 2
direct
0.000 0.000 0.000 As
0.500 0.500 0.500 Se
0.000 0.000 0.500 N
0.000 0.500 0.000 F
0.500 0.000 0.000 F

---

SiAs2NF | Alexandria | SCAN | PBEsol geometry; space-group type = P4/mmm, No. 123; total moment = 0.00 μB per formula unit; final energy = -12.033 eV/atom
1.0
4.296 0.000 0.000
0.000 4.296 0.000
0.000 0.000 3.689
Si As N F
1 2 1 1
direct
0.000 0.000 0.000 Si
0.000 0.500 0.500 As
0.500 0.000 0.500 As
0.500 0.500 0.500 N
0.500 0.500 0.000 F

---

Te2AsNF | Alexandria | SCAN | PBEsol geometry; space-group type = P4/mmm, No. 123; total moment = 2.74 μB per formula unit; final energy = -20.487 eV/atom
1.0
4.745 0.000 0.000
0.000 4.745 0.000
0.000 0.000 4.442
Te As N F
2 1 1 1
direct
0.000 0.500 0.000 Te
0.500 0.000 0.000 Te
0.000 0.000 0.500 As
0.500 0.500 0.500 N
0.500 0.500 0.000 F

---

ZrAsN2F | Alexandria | SCAN | PBEsol geometry; space-group type = P4/mmm, No. 123; total moment = 0.00 μB per formula unit; final energy = -14.167 eV/atom
1.0
3.660 0.000 0.000
0.000 3.660 0.000
0.000 0.000 5.163
Zr As N F
1 1 2 1
direct
0.000 0.000 0.000 Zr
0.000 0.000 0.500 As
0.000 0.500 0.500 N
0.500 0.000 0.500 N
0.500 0.500 0.000 F

---

NaAsO2F | Alexandria | SCAN | PBEsol geometry; space-group type = P4/mmm, No. 123; total moment = 1.01 μB per formula unit; final energy = -8.168 eV/atom
1.0
3.991 0.000 0.000
0.000 3.991 0.000
0.000 0.000 3.781
Na As O F
1 1 2 1
direct
0.000 0.000 0.000 Na
0.500 0.500 0.500 As
0.000 0.500 0.000 O
0.500 0.000 0.000 O
0.000 0.000 0.500 F

---

Number 12 is which compound?
NaAsO2F

---

What is the total moment in the fourth record?
0.00 μB per formula unit

---

What is the total moment in the twelfth record?
1.01 μB per formula unit

---

What did the eighth record say?
AsSeNF2 | Alexandria | SCAN | PBEsol geometry; relative energy among the computed polymorphs = 0 meV/atom; space-group type = P4/mmm, No. 123; total moment = 0.64 μB per formula unit
1.0
3.944 0.000 0.000
0.000 3.944 0.000
0.000 0.000 4.299
As Se N F
1 1 1 2
direct
0.000 0.000 0.000 As
0.500 0.500 0.500 Se
0.000 0.000 0.500 N
0.000 0.500 0.000 F
0.500 0.000 0.000 F